# 1
## Nd3LuF (PBE)

Data for an optimized crystal structure of Nd3LuF.

CIF file:
```
data_Nd3LuF
_symmetry_space_group_name_H-M 'P 1'
_symmetry_Int_Tables_number 1
_symmetry_space_group_name_Hall 'P 1'
_cell_length_a 5.154
_cell_length_b 5.154
_cell_length_c 5.154
_cell_angle_alpha 90.00
_cell_angle_beta 90.00
_cell_angle_gamma 90.00
loop_
_atom_site_label
_atom_site_fract_x
_atom_site_fract_y
_atom_site_fract_z
Nd1 0.000 0.000 0.500
Nd2 0.000 0.500 0.000
Nd3 0.500 0.000 0.000
Lu1 0.500 0.500 0.500
F1 0.000 0.000 0.000
```

Output
magnetization = 0.0 μB per cell
space-group type = Pm-3m
formation energy (no corrections) = -0.97 eV per atom


# 2
## ScBe17Mo (PBE)

Data for an optimized crystal structure of ScBe17Mo.

CIF file:
```
data_ScBe17Mo
_symmetry_space_group_name_H-M 'P 1'
_symmetry_Int_Tables_number 1
_symmetry_space_group_name_Hall 'P 1'
_cell_length_a 5.575
_cell_length_b 5.575
_cell_length_c 5.575
_cell_angle_alpha 82.96
_cell_angle_beta 82.96
_cell_angle_gamma 82.96
loop_
_atom_site_label
_atom_site_fract_x
_atom_site_fract_y
_atom_site_fract_z
Sc1 0.000 0.000 0.000
Be1 0.010 0.010 0.498
Be2 0.010 0.498 0.010
Be3 0.161 0.660 0.660
Be4 0.318 0.318 0.818
Be5 0.318 0.818 0.318
Be6 0.370 0.659 0.956
Be7 0.370 0.956 0.659
Be8 0.498 0.010 0.010
Be9 0.560 0.560 0.560
Be10 0.659 0.370 0.956
Be11 0.659 0.956 0.370
Be12 0.660 0.161 0.660
Be13 0.660 0.660 0.161
Be14 0.756 0.756 0.756
Be15 0.818 0.318 0.318
Be16 0.956 0.370 0.659
Be17 0.956 0.659 0.370
Mo1 0.324 0.324 0.324
```

Output
magnetization = 0.0 μB per cell
ΔE_f = -0.1699 eV/atom
space-group type = R3m


# 3
## ScAlZn2 (PBE)

Data for an optimized crystal structure of ScAlZn2.

CIF file:
```
data_ScAlZn2
_symmetry_space_group_name_H-M 'P 1'
_symmetry_Int_Tables_number 1
_symmetry_space_group_name_Hall 'P 1'
_cell_length_a 4.832
_cell_length_b 4.832
_cell_length_c 5.014
_cell_angle_alpha 101.99
_cell_angle_beta 101.99
_cell_angle_gamma 38.24
loop_
_atom_site_label
_atom_site_fract_x
_atom_site_fract_y
_atom_site_fract_z
Sc1 0.000 0.000 0.000
Al1 0.500 0.500 0.500
Zn1 0.243 0.243 0.729
Zn2 0.757 0.757 0.271
```

Output
magnetization = 0.0 μB per cell
ΔE_f = -0.1935 eV/atom
space-group type = C2/m


# 4
## UTe3Pd (PBE)

Data for an optimized crystal structure of UTe3Pd.

CIF file:
```
data_UTe3Pd
_symmetry_space_group_name_H-M 'P 1'
_symmetry_Int_Tables_number 1
_symmetry_space_group_name_Hall 'P 1'
_cell_length_a 7.866
_cell_length_b 10.800
_cell_length_c 7.486
_cell_angle_alpha 90.00
_cell_angle_beta 90.00
_cell_angle_gamma 90.00
loop_
_atom_site_label
_atom_site_fract_x
_atom_site_fract_y
_atom_site_fract_z
U1 0.000 0.000 0.000
U2 0.000 0.500 0.000
U3 0.500 0.000 0.500
U4 0.500 0.500 0.500
Te1 0.108 0.250 0.140
Te2 0.165 0.062 0.658
Te3 0.165 0.438 0.658
Te4 0.335 0.562 0.158
Te5 0.335 0.938 0.158
Te6 0.392 0.750 0.640
Te7 0.608 0.250 0.360
Te8 0.665 0.062 0.842
Te9 0.665 0.438 0.842
Te10 0.835 0.562 0.342
Te11 0.835 0.938 0.342
Te12 0.892 0.750 0.860
Pd1 0.212 0.750 0.967
Pd2 0.288 0.250 0.467
Pd3 0.712 0.750 0.533
Pd4 0.788 0.250 0.033
```

Output
magnetization = 0.4 μB per cell
space-group type = Pnma
formation energy (no corrections) = -0.35 eV per atom


# 5
## LiPrTe3 (PBE)

Data for an optimized crystal structure of LiPrTe3.

CIF file:
```
data_LiPrTe3
_symmetry_space_group_name_H-M 'P 1'
_symmetry_Int_Tables_number 1
_symmetry_space_group_name_Hall 'P 1'
_cell_length_a 13.599
_cell_length_b 6.593
_cell_length_c 6.292
_cell_angle_alpha 90.00
_cell_angle_beta 90.00
_cell_angle_gamma 90.00
loop_
_atom_site_label
_atom_site_fract_x
_atom_site_fract_y
_atom_site_fract_z
Li1 0.081 0.250 0.000
Li2 0.081 0.250 0.500
Li3 0.919 0.750 0.000
Li4 0.919 0.750 0.500
Pr1 0.314 0.504 0.250
Pr2 0.314 0.996 0.750
Pr3 0.686 0.004 0.250
Pr4 0.686 0.496 0.750
Te1 0.079 0.607 0.250
Te2 0.079 0.893 0.750
Te3 0.248 0.029 0.250
Te4 0.248 0.471 0.750
Te5 0.498 0.750 0.000
Te6 0.498 0.750 0.500
Te7 0.502 0.250 0.000
Te8 0.502 0.250 0.500
Te9 0.752 0.529 0.250
Te10 0.752 0.971 0.750
Te11 0.921 0.107 0.250
Te12 0.921 0.393 0.750
```

Output
magnetization = 0.0 μB per cell
space-group type = Pbcm
formation energy (no corrections) = -0.93 eV per atom


# 6
## W2Br8Cl (PBE)

Data for an optimized crystal structure of W2Br8Cl.

CIF file:
```
data_W2Br8Cl
_symmetry_space_group_name_H-M 'P 1'
_symmetry_Int_Tables_number 1
_symmetry_space_group_name_Hall 'P 1'
_cell_length_a 7.449
_cell_length_b 7.449
_cell_length_c 8.189
_cell_angle_alpha 90.66
_cell_angle_beta 90.66
_cell_angle_gamma 108.23
loop_
_atom_site_label
_atom_site_fract_x
_atom_site_fract_y
_atom_site_fract_z
W1 0.104 0.104 0.286
W2 0.896 0.896 0.714
Br1 0.137 0.736 0.712
Br2 0.189 0.189 0.585
Br3 0.264 0.863 0.288
Br4 0.366 0.366 0.195
Br5 0.634 0.634 0.805
Br6 0.736 0.137 0.712
Br7 0.811 0.811 0.415
Br8 0.863 0.264 0.288
Cl1 0.000 0.000 0.000
```

Output
magnetization = 3.0 μB per cell
space-group type = C2/m
formation energy (no corrections) = -0.41 eV per atom


| no. | raw total energy (eV per atom) |
| --- | --- |
| 1 | -5.113 |
| 2 | -4.407 |
| 3 | -3.349 |
| 4 | -5.528 |
| 5 | -4.150 |
| 6 | -4.152 |